(1)
Compound: Cr4PtPb
Source: Alexandria
Functional: GGA-PBE
Structure: relaxed

a b c (Å): 4.9395 4.9395 4.9395
angles (deg): 60.00 60.00 60.00
Fractional coordinates of all 6 atoms:
Cr 0.6258 0.1226 0.6258
Cr 0.1226 0.6258 0.6258
Pt 0.0000 0.0000 0.0000
Pb 0.2500 0.2500 0.2500
Cr 0.6258 0.6258 0.1226
Cr 0.6258 0.6258 0.6258

E_tot ... -45.8 eV/cell
Calculated density ... 11.9 g cm⁻³

=====

(2)
Compound: La2Dy5Er4
Source: Alexandria
Functional: GGA-PBE
Structure: relaxed

a b c (Å): 3.5025 8.9874 12.7304
angles (deg): 112.57 97.91 90.00
Fractional coordinates of all 11 atoms:
Er 0.5968 0.5684 0.1937
Er 0.0112 0.7003 0.0224
Er 0.9888 0.2997 0.9776
Dy 0.8759 0.7227 0.7518
Er 0.4032 0.4316 0.8063
La 0.2643 0.3198 0.5287
Dy 0.8385 0.0724 0.6770
La 0.7356 0.6802 0.4713
Dy 0.1615 0.9276 0.3230
Dy 0.1241 0.2773 0.2482
Dy 0.5000 0.0000 0.0000

E_tot ... -49.2 eV/cell
Energy above the lowest structure with this stoichiometry ... 0.0212 eV per atom
Calculated density ... 8.0 g cm⁻³

=====

(3)
Compound: KHIrCl
Source: Alexandria
Functional: GGA-PBE
Structure: relaxed

a b c (Å): 5.4899 2.8081 6.1807
angles (deg): 90.00 106.19 90.00
Site moments in Bohr magnetons follow the coordinates.
Fractional coordinates of all 4 atoms:
Ir 0.5523 0.0000 0.1732  0.30
H 0.8012 0.0000 0.3861  0.00
K 0.6740 0.5000 0.7033  0.00
Cl 0.2132 0.0000 0.8402  0.00

E_tot ... -14.9 eV/cell
Energy above the lowest structure with this stoichiometry ... 0.2214 eV per atom
Calculated density ... 4.9 g cm⁻³

=====

(4)
Compound: Tb2Hg3Pb3
Source: Alexandria
Functional: GGA-PBE
Structure: relaxed

a b c (Å): 4.8116 4.7437 9.2499
angles (deg): 90.00 90.00 90.00
Fractional coordinates of all 8 atoms:
Pb 0.0000 0.5000 0.0000
Hg 0.5000 0.0000 0.0000
Hg 0.5000 0.5000 0.2420
Hg 0.5000 0.5000 0.7580
Pb 0.5000 0.0000 0.5000
Tb 0.0000 0.0000 0.7521
Pb 0.0000 0.5000 0.5000
Tb 0.0000 0.0000 0.2479

E_tot ... -24.1 eV/cell
Calculated density ... 12.1 g cm⁻³

=====

(5)
Compound: MgTc2Ag
Source: Alexandria
Functional: GGA-PBE
Structure: relaxed

a b c (Å): 4.4832 4.4832 3.1698
angles (deg): 90.00 90.00 90.00
Site moments in Bohr magnetons follow the coordinates.
Fractional coordinates of all 4 atoms:
Ag 0.5000 0.0000 0.5000  0.01
Mg 0.0000 0.5000 0.5000  0.00
Tc 0.0000 0.0000 0.0000  0.40
Tc 0.5000 0.5000 0.0000  0.40

E_tot ... -22.2 eV/cell
Calculated density ... 8.6 g cm⁻³

=====

(6)
Compound: PuPaNb2
Source: Alexandria
Functional: GGA-PBE
Structure: relaxed

a b c (Å): 3.1057 5.3111 5.3111
angles (deg): 90.00 90.00 90.00
Site moments in Bohr magnetons follow the coordinates.
Fractional coordinates of all 4 atoms:
Nb 0.0000 0.5000 0.0000  -0.09
Pu 0.5000 0.0000 0.0000  4.98
Nb 0.0000 0.0000 0.5000  -0.09
Pa 0.5000 0.5000 0.5000  -0.09

E_tot ... -42.6 eV/cell
Energy above the lowest structure with this stoichiometry ... 0.0410 eV per atom
Calculated density ... 12.5 g cm⁻³

=====

(7)
Compound: Tb2Fe12Si7
Source: Alexandria
Functional: GGA-PBE
Structure: relaxed

a b c (Å): 3.7397 9.1412 9.1412
angles (deg): 120.00 90.00 90.00
Site moments in Bohr magnetons follow the coordinates.
Fractional coordinates of all 21 atoms:
Fe 0.5000 0.9048 0.6287  1.57
Fe 0.5000 0.5455 0.7689  1.16
Si 0.5000 0.4475 0.0627  -0.04
Fe 0.0000 0.2946 0.0697  1.26
Fe 0.5000 0.2233 0.4545  1.16
Fe 0.5000 0.7239 0.0952  1.57
Si 0.5000 0.6153 0.5525  -0.04
Si 0.0000 0.0691 0.7929  -0.06
Fe 0.0000 0.4610 0.5147  -0.10
Fe 0.5000 0.3713 0.2761  1.57
Fe 0.0000 0.4853 0.9463  -0.10
Fe 0.5000 0.2311 0.7767  1.16
Fe 0.0000 0.9303 0.2249  1.26
Si 0.0000 0.7238 0.9309  -0.06
Tb 0.0000 0.6667 0.3333  -0.17
Si 0.0000 0.2071 0.2762  -0.06
Si 0.5000 0.9373 0.3847  -0.04
Si 0.0000 0.3333 0.6667  -0.03
Fe 0.0000 0.7751 0.7054  1.26
Fe 0.0000 0.0537 0.5390  -0.10
Tb 0.5000 0.0000 0.0000  -0.15

Formation energy (no corrections) ... -40 kJ per mole of atoms
E_tot ... -157.5 eV/cell
Calculated density ... 7.3 g cm⁻³

=====

(8)
Compound: Al2SbPb
Source: Alexandria
Functional: GGA-PBE
Structure: relaxed

a b c (Å): 3.2156 5.7240 6.4384
angles (deg): 55.79 90.00 90.00
Fractional coordinates of all 4 atoms:
Al 0.0000 0.0000 0.0000
Pb 0.5000 0.5000 0.5000
Sb 0.0000 0.0000 0.5000
Al 0.5000 0.5000 0.0000

Formation energy (no corrections) ... 30 kJ per mole of atoms
E_tot ... -14.1 eV/cell
Energy above the lowest structure with this stoichiometry ... 0.1807 eV per atom
Calculated density ... 6.5 g cm⁻³

=====

(9)
Compound: DyEr3
Source: Alexandria
Functional: GGA-PBE
Structure: relaxed

a b c (Å): 4.9555 4.9555 6.0755
angles (deg): 114.07 114.07 90.00
Fractional coordinates of all 4 atoms:
Er 0.5000 0.5000 0.0000
Er 0.2500 0.7500 0.5000
Er 0.7500 0.2500 0.5000
Dy 0.0000 0.0000 0.0000

E_tot ... -18.2 eV/cell
Energy above the lowest structure with this stoichiometry ... 0.0228 eV per atom
Calculated density ... 9.1 g cm⁻³

=====

(10)
Compound: Ir2W
Source: Alexandria
Functional: GGA-PBE
Structure: relaxed

a b c (Å): 2.7374 4.0130 17.9717
angles (deg): 90.00 90.00 90.00
Fractional coordinates of all 12 atoms:
W 0.5000 0.2500 0.8909
Ir 0.5000 0.2500 0.3100
W 0.5000 0.7500 0.1091
Ir 0.0000 0.7500 0.9556
Ir 0.5000 0.7500 0.5444
Ir 0.0000 0.7500 0.8100
W 0.0000 0.7500 0.3909
Ir 0.5000 0.2500 0.4556
Ir 0.0000 0.2500 0.0444
Ir 0.5000 0.7500 0.6900
Ir 0.0000 0.2500 0.1900
W 0.0000 0.2500 0.6091

E_tot ... -121.7 eV/cell
Calculated density ... 19.1 g cm⁻³

=====

(11)
Compound: Sn2TePd2
Source: Alexandria
Functional: GGA-PBE
Structure: relaxed

a b c (Å): 7.7007 7.7007 3.6382
angles (deg): 90.00 90.00 90.00
Fractional coordinates of all 10 atoms:
Pd 0.1342 0.3658 0.0000
Sn 0.1574 0.6574 0.5000
Pd 0.8658 0.6342 0.0000
Sn 0.3426 0.1574 0.5000
Te 0.5000 0.5000 0.0000
Sn 0.8426 0.3426 0.5000
Pd 0.6342 0.1342 0.0000
Pd 0.3658 0.8658 0.0000
Te 0.0000 0.0000 0.0000
Sn 0.6574 0.8426 0.5000

Formation energy (no corrections) ... -27 kJ per mole of atoms
E_tot ... -45.9 eV/cell
Energy above the lowest structure with this stoichiometry ... 0.0000 eV per atom
Calculated density ... 8.9 g cm⁻³

=====

(12)
Compound: ScBeIn2
Source: Alexandria
Functional: GGA-PBE
Structure: relaxed

a b c (Å): 4.8555 4.8555 4.8555
angles (deg): 60.00 60.00 60.00
Fractional coordinates of all 4 atoms:
In 0.0000 0.0000 0.0000
Be 0.5000 0.5000 0.5000
Sc 0.7500 0.7500 0.7500
In 0.2500 0.2500 0.2500

E_tot ... -14.7 eV/cell
Calculated density ... 5.8 g cm⁻³

=====

(13)
Compound: Ac2HoGe3Ir4
Source: Alexandria
Functional: GGA-PBE
Structure: relaxed

a b c (Å): 4.2976 4.2976 11.3332
angles (deg): 90.00 90.00 90.00
Fractional coordinates of all 10 atoms:
Ge 0.0000 0.0000 0.5000
Ac 0.0000 0.5000 0.7635
Ir 0.0000 0.0000 0.0000
Ir 0.0000 0.5000 0.3432
Ge 0.0000 0.5000 0.1187
Ir 0.5000 0.5000 0.0000
Ir 0.5000 0.0000 0.6568
Ge 0.5000 0.0000 0.8813
Ho 0.5000 0.5000 0.5000
Ac 0.5000 0.0000 0.2365

E_tot ... -69.8 eV/cell
Calculated density ... 12.7 g cm⁻³

=====

(14)
Compound: Mg3Mo
Source: Alexandria
Functional: GGA-PBE
Structure: relaxed

a b c (Å): 4.8363 5.3699 5.9489
angles (deg): 90.00 90.00 90.00
Site moments in Bohr magnetons follow the coordinates.
Fractional coordinates of all 8 atoms:
Mg 0.5000 0.6488 0.0000  -0.01
Mg 0.0000 0.3512 0.5000  -0.01
Mo 0.5000 0.6512 0.5000  1.55
Mg 0.0000 0.8355 0.7518  -0.01
Mo 0.0000 0.3488 0.0000  1.55
Mg 0.5000 0.1645 0.2518  -0.01
Mg 0.5000 0.1645 0.7482  -0.01
Mg 0.0000 0.8355 0.2482  -0.01

E_tot ... -28.0 eV/cell
Energy above the lowest structure with this stoichiometry ... 0.2113 eV per atom
Calculated density ... 3.6 g cm⁻³

=====

(15)
Compound: Na2Cd2Cl5
Source: Alexandria
Functional: GGA-PBE
Structure: relaxed

a b c (Å): 5.5601 9.2416 5.5432
angles (deg): 90.07 90.00 107.51
Fractional coordinates of all 9 atoms:
Cl 0.3306 0.6613 0.0005
Cl 0.1684 0.3367 0.4995
Cd 0.1465 0.2929 0.9993
Na 0.6699 0.3399 0.4994
Cd 0.8535 0.7071 0.0007
Cl 0.8316 0.6633 0.5005
Na 0.3301 0.6601 0.5006
Cl 0.0000 0.0000 0.0000
Cl 0.6694 0.3387 0.9995

Formation energy (no corrections) ... -116 kJ per mole of atoms
E_tot ... -24.5 eV/cell
Calculated density ... 2.7 g cm⁻³

=====

(16)
Compound: Mg2OsPtBr
Source: Alexandria
Functional: GGA-PBE
Structure: relaxed

a b c (Å): 5.1353 4.5022 5.1353
angles (deg): 90.00 90.00 90.00
Fractional coordinates of all 5 atoms:
Os 0.0000 0.0000 0.0000
Mg 0.0000 0.0000 0.5000
Br 0.0000 0.5000 0.0000
Pt 0.5000 0.5000 0.5000
Mg 0.5000 0.0000 0.0000

Formation energy (no corrections) ... 80 kJ per mole of atoms
E_tot ... -18.0 eV/cell
Calculated density ... 7.2 g cm⁻³

=====

(17)
Compound: AcAg7Au12
Source: Alexandria
Functional: GGA-PBE
Structure: relaxed

a b c (Å): 8.7143 8.7143 8.7143
angles (deg): 109.47 109.47 109.47
Fractional coordinates of all 20 atoms:
Au 0.8511 0.5803 0.7291
Au 0.4197 0.2709 0.1489
Au 0.8511 0.1220 0.2709
Au 0.2709 0.8511 0.1220
Au 0.5803 0.7291 0.8511
Ag 0.0000 0.0000 0.5000
Au 0.8780 0.7291 0.1489
Au 0.2709 0.1489 0.4197
Au 0.1220 0.2709 0.8511
Au 0.7291 0.1489 0.8780
Ag 0.5000 0.0000 0.0000
Ag 0.0000 0.5000 0.0000
Au 0.1489 0.4197 0.2709
Ac 0.0000 0.0000 0.0000
Au 0.1489 0.8780 0.7291
Ag 0.5000 0.0000 0.5000
Au 0.7291 0.8511 0.5803
Ag 0.5000 0.5000 0.0000
Ag 0.0000 0.5000 0.5000
Ag 0.5000 0.5000 0.5000

E_tot ... -58.7 eV/cell
Calculated density ... 10.9 g cm⁻³

=====

(18)
Compound: Rb2TmPaO6
Source: Alexandria
Functional: GGA-PBE
Structure: relaxed

a b c (Å): 6.2238 6.2235 6.2244
angles (deg): 60.01 59.98 90.00
Site moments in Bohr magnetons follow the coordinates.
Fractional coordinates of all 10 atoms:
O 0.2454 0.7546 0.9999  0.29
Rb 0.2500 0.7500 0.5000  0.00
Rb 0.7500 0.2500 0.5000  0.00
O 0.2453 0.2453 0.0002  0.29
O 0.7546 0.7547 0.4909  0.29
O 0.7547 0.7547 0.9998  0.29
Tm 0.5000 0.5000 0.0000  0.01
O 0.7546 0.2454 0.0001  0.29
O 0.2454 0.2453 0.5091  0.29
Pa 0.0000 0.0000 0.0000  0.02

Formation energy (no corrections) ... -247 kJ per mole of atoms
E_tot ... -71.3 eV/cell
Calculated density ... 6.5 g cm⁻³

=====

(19)
Compound: RbLiSbSe3
Source: Alexandria
Functional: GGA-PBE
Structure: relaxed

a b c (Å): 4.2179 9.4453 9.6921
angles (deg): 112.32 90.00 90.00
Fractional coordinates of all 12 atoms:
Se 0.2500 0.5246 0.8348
Sb 0.2500 0.6739 0.1522
Se 0.7500 0.8662 0.1318
Sb 0.7500 0.3261 0.8478
Se 0.7500 0.4754 0.1652
Se 0.2500 0.1338 0.8682
Li 0.7500 0.9136 0.4090
Rb 0.2500 0.2213 0.2612
Li 0.2500 0.0864 0.5910
Se 0.7500 0.2091 0.5452
Se 0.2500 0.7909 0.4548
Rb 0.7500 0.7787 0.7388

Formation energy (no corrections) ... -69 kJ per mole of atoms
E_tot ... -43.5 eV/cell
Calculated density ... 4.2 g cm⁻³

=====

(20)
Compound: NiW
Source: Alexandria
Functional: GGA-PBE
Structure: relaxed

a b c (Å): 2.7416 2.7416 8.5597
angles (deg): 90.00 90.00 120.00
Fractional coordinates of all 4 atoms:
Ni 0.0000 0.0000 0.0104
W 0.0000 0.0000 0.4794
Ni 0.3333 0.6667 0.2396
W 0.3333 0.6667 0.7706

E_tot ... -36.6 eV/cell
Calculated density ... 14.5 g cm⁻³